No. 1
Material: Sc3Zn2Cu7
Method: DFT, PBE
State: relaxed

Computed properties:
**Energy relative to the elements**: -0.230 eV per atom

a b c (Å): 5.0650 5.0650 8.6218
angles (deg): 72.92 72.92 60.00
With the nearest neighbours (Å) after each atom.
Sites, in units of the cell vectors:
Sc 0.0000 0.0000 0.0000  6 Zn 2.92, 12 Cu 3.27
Sc 0.8583 0.8583 0.4250  12 Cu 2.88-2.99, 3 Sc 3.17
Sc 0.1417 0.1417 0.5750  12 Cu 2.88-2.99, 3 Sc 3.17
Zn 0.6667 0.6667 0.9998  6 Cu 2.52-2.54
Zn 0.3333 0.3333 0.0002  6 Cu 2.52-2.54
Cu 0.5000 0.5000 0.5000  6 Cu 2.48
Cu 0.9184 0.4135 0.2547  5 Cu 2.48-2.56, 2 Zn 2.52-2.54
Cu 0.4135 0.9184 0.2547  5 Cu 2.48-2.56, 2 Zn 2.52-2.54
Cu 0.4135 0.4135 0.2547  5 Cu 2.48-2.56, 2 Zn 2.52-2.54
Cu 0.0816 0.5865 0.7453  5 Cu 2.48-2.56, 2 Zn 2.52-2.54
Cu 0.5865 0.5865 0.7453  5 Cu 2.48-2.56, 2 Zn 2.52-2.54
Cu 0.5865 0.0816 0.7453  5 Cu 2.48-2.56, 2 Zn 2.52-2.54



No. 2
Material: Sc5Zn4Cu
Method: DFT, PBE
State: relaxed

Computed properties:
**Energy relative to the elements**: -0.353 eV per atom

a b c (Å): 3.3372 3.3372 16.6617
angles (deg): 90.00 90.00 90.00
With the nearest neighbours (Å) after each atom.
Sites, in units of the cell vectors:
Sc 0.5000 0.5000 0.0954  4 Cu 2.85, 4 Zn 2.91, 1 Sc 3.18
Sc 0.5000 0.5000 0.2973  8 Zn 2.89-2.90
Sc 0.5000 0.5000 0.5000  8 Zn 2.90
Sc 0.5000 0.5000 0.7027  8 Zn 2.89-2.90
Sc 0.5000 0.5000 0.9046  4 Cu 2.85, 4 Zn 2.91, 1 Sc 3.18
Zn 0.0000 0.0000 0.1976  8 Sc 2.89-2.91
Zn 0.0000 0.0000 0.3984  8 Sc 2.90
Zn 0.0000 0.0000 0.6016  8 Sc 2.90
Zn 0.0000 0.0000 0.8024  8 Sc 2.89-2.91
Cu 0.0000 0.0000 0.0000  8 Sc 2.85



No. 3
Material: Sc2Zn3Cu
Method: DFT, PBE
State: relaxed

Computed properties:
**Energy relative to the elements**: -0.326 eV per atom

a b c (Å): 3.1350 4.3439 7.5331
angles (deg): 90.00 90.00 90.00
With the nearest neighbours (Å) after each atom.
Sites, in units of the cell vectors:
Sc 0.0000 0.5000 0.0130  2 Cu 2.88, 10 Zn 2.92-3.06, 2 Sc 3.13
Sc 0.0000 0.0000 0.4894  8 Zn 2.89-3.02, 4 Cu 2.92, 2 Sc 3.13
Zn 0.5000 0.0000 0.8324  3 Zn 2.51-2.52
Zn 0.5000 0.0000 0.1671  2 Cu 2.51, 1 Zn 2.52
Zn 0.5000 0.5000 0.6646  1 Cu 2.49, 2 Zn 2.51
Cu 0.5000 0.5000 0.3336  3 Zn 2.49-2.51



No. 4
Material: Sc2Zn5Cu3
Method: DFT, PBE
State: relaxed

Computed properties:
**Energy relative to the elements**: -0.220 eV per atom

a b c (Å): 4.2481 6.4566 11.6676
angles (deg): 90.00 100.49 90.00
With the nearest neighbours (Å) after each atom.
Sites, in units of the cell vectors:
Sc 0.4847 0.7884 0.9694  5 Cu 2.76-3.01, 6 Zn 2.89-3.06
Sc 0.1751 0.7050 0.3502  3 Cu 2.79-3.07, 10 Zn 2.86-3.11
Sc 0.8249 0.2050 0.6498  3 Cu 2.79-3.07, 10 Zn 2.86-3.11
Sc 0.5153 0.2884 0.0306  5 Cu 2.76-3.01, 6 Zn 2.89-3.06
Zn 0.3917 0.4652 0.7834  3 Cu 2.48-2.58, 1 Zn 2.52
Zn 0.2820 0.4600 0.5639  3 Cu 2.42-2.45, 2 Zn 2.52-2.66
Zn 0.7180 0.9600 0.4361  3 Cu 2.42-2.45, 2 Zn 2.52-2.66
Zn 0.1217 0.2848 0.2435  2 Cu 2.49, 1 Zn 2.58
Zn 0.2996 0.8666 0.5993  4 Cu 2.50-2.60, 1 Zn 2.66
Zn 0.9501 0.0930 0.9001  4 Cu 2.46-2.55, 1 Zn 2.58
Zn 0.7004 0.3666 0.4007  4 Cu 2.50-2.60, 1 Zn 2.66
Zn 0.8783 0.7848 0.7565  2 Cu 2.49, 1 Zn 2.58
Zn 0.0499 0.5930 0.0999  4 Cu 2.46-2.55, 1 Zn 2.58
Zn 0.6083 0.9652 0.2166  3 Cu 2.48-2.58, 1 Zn 2.52
Cu 0.7766 0.6488 0.5532  7 Zn 2.42-2.60
Cu 0.6067 0.5656 0.2133  4 Zn 2.50-2.58, 3 Sc 2.76-2.79
Cu 0.0529 0.9874 0.1057  5 Zn 2.46-2.55
Cu 0.2234 0.1488 0.4468  7 Zn 2.42-2.60
Cu 0.9471 0.4874 0.8943  5 Zn 2.46-2.55
Cu 0.3933 0.0656 0.7867  4 Zn 2.50-2.58, 3 Sc 2.76-2.79



No. 5
Material: ScZn3Cu
Method: DFT, PBE
State: relaxed

Computed properties:
**Energy above the most stable polymorph in this dataset**: 0.00 eV/f.u.
**Energy relative to the elements**: -0.213 eV per atom

a b c (Å): 3.8883 6.3540 6.7548
angles (deg): 76.35 90.00 90.00
With the nearest neighbours (Å) after each atom.
Sites, in units of the cell vectors:
Sc 0.3810 0.5381 0.2351  2 Cu 2.80, 7 Zn 2.84-3.03
Sc 0.8810 0.1367 0.5710  2 Cu 2.80, 7 Zn 2.85-3.03
Zn 0.8810 0.6210 0.5147  3 Cu 2.48-2.52, 3 Zn 2.62-2.69
Zn 0.3810 0.0538 0.2914  3 Cu 2.48-2.52, 3 Zn 2.62-2.69
Zn 0.8810 0.6812 0.8852  3 Cu 2.47-2.57, 2 Zn 2.58-2.62
Zn 0.8810 0.2724 0.0532  1 Cu 2.52, 5 Zn 2.58-2.79
Zn 0.3810 0.4024 0.7529  1 Cu 2.52, 5 Zn 2.58-2.79
Zn 0.3810 0.9935 0.9208  3 Cu 2.47-2.57, 2 Zn 2.58-2.62
Cu 0.3810 0.8097 0.6365  7 Zn 2.47-2.57
Cu 0.8810 0.8650 0.1695  7 Zn 2.47-2.57



No. 6
Material: ScZn2Cu9
Method: DFT, PBE
State: relaxed

Computed properties:
**Energy relative to the elements**: -0.052 eV per atom

a b c (Å): 4.9167 4.9167 8.3741
angles (deg): 72.93 72.93 60.00
With the nearest neighbours (Å) after each atom.
Sites, in units of the cell vectors:
Sc 0.0000 0.0000 0.0000  6 Cu 2.84
Zn 0.8552 0.8552 0.4344  12 Cu 2.80-2.89, 3 Zn 3.02
Zn 0.1448 0.1448 0.5656  12 Cu 2.80-2.89, 3 Zn 3.02
Cu 0.6662 0.6662 0.0013  6 Cu 2.47-2.48
Cu 0.3338 0.3338 0.9987  6 Cu 2.47-2.48
Cu 0.5000 0.5000 0.5000  6 Cu 2.39
Cu 0.4119 0.4119 0.2572  7 Cu 2.39-2.49
Cu 0.9190 0.4119 0.2572  7 Cu 2.39-2.49
Cu 0.4119 0.9190 0.2572  7 Cu 2.39-2.49
Cu 0.5881 0.5881 0.7428  7 Cu 2.39-2.49
Cu 0.5881 0.0810 0.7428  7 Cu 2.39-2.49
Cu 0.0810 0.5881 0.7428  7 Cu 2.39-2.49



No. 7
Material: Sc3Zn20Cu6
Method: DFT, PBE
State: relaxed

Computed properties:
**Energy relative to the elements**: -0.026 eV per atom

a b c (Å): 8.6894 8.6894 8.6894
angles (deg): 60.00 60.00 60.00
With the nearest neighbours (Å) after each atom.
Sites, in units of the cell vectors:
Sc 0.7500 0.7500 0.7500  4 Zn 2.88
Sc 0.2500 0.2500 0.2500  4 Zn 2.88
Sc 0.0000 0.0000 0.0000  12 Zn 3.07, 6 Cu 3.23
Zn 0.3855 0.3855 0.8435  3 Cu 2.50
Zn 0.1565 0.6145 0.6145  3 Cu 2.50
Zn 0.6463 0.0000 0.0000  2 Cu 2.42, 1 Zn 2.54
Zn 0.6463 0.3537 0.0000  2 Cu 2.42, 1 Zn 2.54
Zn 0.0000 0.0000 0.6463  2 Cu 2.42, 1 Zn 2.54
Zn 0.3855 0.8435 0.3855  3 Cu 2.50
Zn 0.0000 0.3537 0.6463  2 Cu 2.42, 1 Zn 2.54
Zn 0.6463 0.0000 0.3537  2 Cu 2.42, 1 Zn 2.54
Zn 0.0000 0.6463 0.0000  2 Cu 2.42, 1 Zn 2.54
Zn 0.0000 0.0000 0.3537  2 Cu 2.42, 1 Zn 2.54
Zn 0.3537 0.0000 0.6463  2 Cu 2.42, 1 Zn 2.54
Zn 0.0000 0.3537 0.0000  2 Cu 2.42, 1 Zn 2.54
Zn 0.3537 0.6463 0.0000  2 Cu 2.42, 1 Zn 2.54
Zn 0.3537 0.0000 0.0000  2 Cu 2.42, 1 Zn 2.54
Zn 0.3855 0.3855 0.3855  3 Cu 2.50
Zn 0.6145 0.6145 0.1565  3 Cu 2.50
Zn 0.6145 0.6145 0.6145  3 Cu 2.50
Zn 0.6145 0.1565 0.6145  3 Cu 2.50
Zn 0.8435 0.3855 0.3855  3 Cu 2.50
Zn 0.0000 0.6463 0.3537  2 Cu 2.42, 1 Zn 2.54
Cu 0.2626 0.7374 0.7374  8 Zn 2.42-2.50
Cu 0.7374 0.2626 0.2626  8 Zn 2.42-2.50
Cu 0.2626 0.2626 0.7374  8 Zn 2.42-2.50
Cu 0.7374 0.2626 0.7374  8 Zn 2.42-2.50
Cu 0.2626 0.7374 0.2626  8 Zn 2.42-2.50
Cu 0.7374 0.7374 0.2626  8 Zn 2.42-2.50



No. 8
Material: ScZn2Cu4
Method: DFT, PBE
State: relaxed

Computed properties:
**Energy above the most stable polymorph in this dataset**: 4.13 eV/f.u.
**Energy relative to the elements**: 0.396 eV per atom

a b c (Å): 5.7801 5.7801 5.7801
angles (deg): 100.32 100.32 129.92
With the nearest neighbours (Å) after each atom.
Sites, in units of the cell vectors:
Sc 0.0000 0.0000 0.0000  8 Cu 2.95
Zn 0.2500 0.7500 0.5000  4 Cu 2.40, 2 Zn 2.45
Zn 0.7500 0.2500 0.5000  4 Cu 2.40, 2 Zn 2.45
Cu 0.7214 0.5000 0.2214  2 Cu 2.32, 2 Zn 2.40
Cu 0.5000 0.7214 0.2214  2 Cu 2.32, 2 Zn 2.40
Cu 0.5000 0.2786 0.7786  2 Cu 2.32, 2 Zn 2.40
Cu 0.2786 0.5000 0.7786  2 Cu 2.32, 2 Zn 2.40



No. 9
Material: Sc3Zn9Cu2
Method: DFT, PBE
State: relaxed

Computed properties:
**Energy relative to the elements**: -0.263 eV per atom

a b c (Å): 4.2426 7.6614 7.6614
angles (deg): 75.43 73.93 73.93
With the nearest neighbours (Å) after each atom.
Sites, in units of the cell vectors:
Sc 0.0000 0.0000 0.0000  12 Zn 2.92-3.04
Sc 0.7102 0.2898 0.2898  2 Cu 2.79, 10 Zn 3.00-3.11
Sc 0.2898 0.7102 0.7102  2 Cu 2.79, 10 Zn 3.00-3.11
Zn 0.0000 0.5000 0.5000  4 Cu 2.57, 4 Zn 2.62
Zn 0.6388 0.9934 0.7290  4 Zn 2.48-2.66, 1 Cu 2.54
Zn 0.3612 0.0066 0.2710  4 Zn 2.48-2.66, 1 Cu 2.54
Zn 0.6388 0.7290 0.9934  4 Zn 2.48-2.66, 1 Cu 2.54
Zn 0.3612 0.2710 0.0066  4 Zn 2.48-2.66, 1 Cu 2.54
Zn 0.8606 0.8620 0.4168  4 Zn 2.52-2.66, 2 Cu 2.72
Zn 0.1394 0.1380 0.5832  4 Zn 2.52-2.66, 2 Cu 2.72
Zn 0.8606 0.4168 0.8620  4 Zn 2.52-2.66, 2 Cu 2.72
Zn 0.1394 0.5832 0.1380  4 Zn 2.52-2.66, 2 Cu 2.72
Cu 0.5000 0.3450 0.6550  8 Zn 2.54-2.72, 2 Sc 2.79
Cu 0.5000 0.6550 0.3450  8 Zn 2.54-2.72, 2 Sc 2.79



No. 10
Material: ScZn3Cu
Method: DFT, PBE
State: relaxed

Computed properties:
**Energy above the most stable polymorph in this dataset**: 6.42 eV/f.u.
**Energy relative to the elements**: 1.071 eV per atom

a b c (Å): 5.2261 5.2261 5.2261
angles (deg): 90.00 90.00 90.00
With the nearest neighbours (Å) after each atom.
Sites, in units of the cell vectors:
Sc 0.0000 0.0000 0.0000  6 Zn 2.61
Zn 0.0000 0.5000 0.0000  2 Sc 2.61
Zn 0.0000 0.0000 0.5000  2 Sc 2.61
Zn 0.5000 0.0000 0.0000  2 Sc 2.61
Cu 0.5000 0.5000 0.5000  12 Zn 3.70



No. 11
Material: Sc2ZnCu2
Method: DFT, PBE
State: relaxed

Computed properties:
**Energy relative to the elements**: -0.270 eV per atom

a b c (Å): 5.2375 5.2375 7.5339
angles (deg): 77.27 77.27 58.73
With the nearest neighbours (Å) after each atom.
Sites, in units of the cell vectors:
Sc 0.4993 0.2001 0.1482  6 Cu 2.75-2.90, 1 Zn 2.99
Sc 0.7999 0.5007 0.3518  6 Cu 2.75-2.90, 1 Zn 2.99
Sc 0.5007 0.7999 0.8518  6 Cu 2.75-2.90, 1 Zn 2.99
Sc 0.2001 0.4993 0.6482  6 Cu 2.75-2.90, 1 Zn 2.99
Zn 0.1760 0.8240 0.2500  4 Cu 2.51-2.54
Zn 0.8240 0.1760 0.7500  4 Cu 2.51-2.54
Cu 0.7261 0.0064 0.4979  1 Cu 2.40, 2 Zn 2.51-2.54
Cu 0.9936 0.2739 0.0021  1 Cu 2.40, 2 Zn 2.51-2.54
Cu 0.2739 0.9936 0.5021  1 Cu 2.40, 2 Zn 2.51-2.54
Cu 0.0064 0.7261 0.9979  1 Cu 2.40, 2 Zn 2.51-2.54



No. 12
Material: Sc2ZnCu
Method: DFT, PBE
State: relaxed

Computed properties:
**Energy relative to the elements**: -0.315 eV per atom

a b c (Å): 4.6750 3.3109 4.6738
angles (deg): 90.00 90.00 90.00
With the nearest neighbours (Å) after each atom.
Sites, in units of the cell vectors:
Sc 0.0000 0.1248 0.8754  4 Zn 2.86-2.87, 4 Cu 2.86
Sc 0.5000 0.1251 0.3747  4 Cu 2.86-2.87, 4 Zn 2.86
Zn 0.0000 0.6251 0.3759  8 Sc 2.86-2.87
Cu 0.5000 0.6250 0.8740  8 Sc 2.86-2.87